PBE Gd2TcPt, optimized geometry; density of states at the Fermi level = 0.7835 states/eV per atom; formation energy from the elements = -519 meV per atom
1.0
3.537 0.000 0.000
0.000 3.537 0.000
0.000 0.000 6.775
Gd Tc Pt
2 1 1
direct
0.000 0.000 0.246
0.000 0.000 0.754
0.500 0.500 0.000
0.500 0.500 0.500